(1)
DFT (GGA-PBE) results for Na3Hg12Pb after structural relaxation.

a b c (Å): 4.7444 4.7444 18.6019
angles (deg): 90.00 90.00 90.00
With the nearest neighbours (Å) after each atom.
Sites, in units of the cell vectors:
Na 0.0000 0.0000 0.0000  12 Hg 3.33-3.35
Na 0.0000 0.0000 0.2479  12 Hg 3.28-3.35
Na 0.0000 0.0000 0.7521  12 Hg 3.28-3.35
Hg 0.0000 0.5000 0.1254  4 Na 3.29-3.33, 8 Hg 3.31-3.35
Hg 0.0000 0.5000 0.3695  8 Hg 3.26-3.39, 2 Na 3.28, 2 Pb 3.39
Hg 0.0000 0.5000 0.6305  8 Hg 3.26-3.39, 2 Na 3.28, 2 Pb 3.39
Hg 0.0000 0.5000 0.8746  4 Na 3.29-3.33, 8 Hg 3.31-3.35
Hg 0.5000 0.0000 0.1254  4 Na 3.29-3.33, 8 Hg 3.31-3.35
Hg 0.5000 0.0000 0.3695  8 Hg 3.26-3.39, 2 Na 3.28, 2 Pb 3.39
Hg 0.5000 0.0000 0.6305  8 Hg 3.26-3.39, 2 Na 3.28, 2 Pb 3.39
Hg 0.5000 0.0000 0.8746  4 Na 3.29-3.33, 8 Hg 3.31-3.35
Hg 0.5000 0.5000 0.0000  8 Hg 3.33, 4 Na 3.35
Hg 0.5000 0.5000 0.2493  8 Hg 3.26-3.31, 4 Na 3.35
Hg 0.5000 0.5000 0.5000  4 Pb 3.35, 8 Hg 3.39
Hg 0.5000 0.5000 0.7507  8 Hg 3.26-3.31, 4 Na 3.35
Pb 0.0000 0.0000 0.5000  12 Hg 3.35-3.39

Summary:
ΔH_f (0 K) = -0.13 eV per atom
M_tot = 0.0 μB per cell

---

(2)
DFT (GGA-PBE) results for Na2HgPb6 after structural relaxation.

a b c (Å): 7.8428 7.8428 7.9947
angles (deg): 107.54 107.54 35.10
With the nearest neighbours (Å) after each atom.
Sites, in units of the cell vectors:
Na 0.0544 0.0544 0.3124  2 Hg 3.35, 9 Pb 3.45-3.57
Na 0.9456 0.9456 0.6876  2 Hg 3.35, 9 Pb 3.45-3.57
Hg 0.5000 0.5000 0.0000  4 Na 3.35, 8 Pb 3.45-3.61
Pb 0.1675 0.1675 0.9953  8 Pb 3.40-3.58, 2 Na 3.45-3.46, 2 Hg 3.45
Pb 0.2728 0.2728 0.6625  8 Pb 3.39-3.56, 3 Na 3.46-3.57, 1 Hg 3.61
Pb 0.3899 0.3899 0.3373  7 Pb 3.39-3.58, 4 Na 3.46-3.56, 1 Hg 3.58
Pb 0.6101 0.6101 0.6627  7 Pb 3.39-3.58, 4 Na 3.46-3.56, 1 Hg 3.58
Pb 0.7272 0.7272 0.3375  8 Pb 3.39-3.56, 3 Na 3.46-3.57, 1 Hg 3.61
Pb 0.8325 0.8325 0.0047  8 Pb 3.40-3.58, 2 Na 3.45-3.46, 2 Hg 3.45

Summary:
ΔH_f (0 K) = -0.09 eV per atom
M_tot = 0.0 μB per cell

---

(3)
DFT (GGA-PBE) results for Na2HgPb8 after structural relaxation.

a b c (Å): 9.2235 9.2235 7.7132
angles (deg): 104.21 104.21 31.58
With the nearest neighbours (Å) after each atom.
Sites, in units of the cell vectors:
Na 0.2232 0.2232 0.1423  10 Pb 3.39-3.61, 2 Na 3.62
Na 0.7768 0.7768 0.8577  10 Pb 3.39-3.61, 2 Na 3.62
Hg 0.5000 0.5000 0.5000  12 Pb 3.36-3.54
Pb 0.0395 0.0395 0.2375  9 Pb 3.39-3.57, 2 Hg 3.41, 1 Na 3.52
Pb 0.1386 0.1386 0.6779  7 Pb 3.38-3.59, 3 Na 3.51-3.54, 2 Hg 3.54
Pb 0.3224 0.3224 0.5801  1 Hg 3.36, 8 Pb 3.38-3.58, 3 Na 3.39-3.52
Pb 0.4102 0.4102 0.0369  8 Pb 3.38-3.59, 3 Na 3.49-3.61, 1 Hg 3.52
Pb 0.5898 0.5898 0.9631  8 Pb 3.38-3.59, 3 Na 3.49-3.61, 1 Hg 3.52
Pb 0.6776 0.6776 0.4199  1 Hg 3.36, 8 Pb 3.38-3.58, 3 Na 3.39-3.52
Pb 0.8614 0.8614 0.3221  7 Pb 3.38-3.59, 3 Na 3.51-3.54, 2 Hg 3.54
Pb 0.9605 0.9605 0.7625  9 Pb 3.39-3.57, 2 Hg 3.41, 1 Na 3.52

Summary:
ΔH_f (0 K) = -0.05 eV per atom
M_tot = 0.0 μB per cell

---

(4)
DFT (GGA-PBE) results for NaHg2Pb after structural relaxation.

a b c (Å): 10.1293 10.1293 10.1293
angles (deg): 20.52 20.52 20.52
With the nearest neighbours (Å) after each atom.
Sites, in units of the cell vectors:
Na 0.0000 0.0000 0.0000  6 Hg 3.15
Hg 0.4130 0.4130 0.4130  3 Na 3.15, 3 Pb 3.32
Hg 0.5871 0.5871 0.5871  3 Na 3.15, 3 Pb 3.33
Pb 0.8332 0.8332 0.8332  6 Hg 3.32-3.33, 6 Pb 3.61

Summary:
ΔH_f (0 K) = -0.09 eV per atom
M_tot = 0.0 μB per cell

---

(5)
DFT (GGA-PBE) results for Na2HgPb2 after structural relaxation.

a b c (Å): 7.5118 7.5118 8.9770
angles (deg): 101.64 101.64 42.02
With the nearest neighbours (Å) after each atom.
Sites, in units of the cell vectors:
Na 0.1450 0.6532 0.5570  3 Hg 3.34-3.36, 3 Pb 3.43-3.46
Na 0.3468 0.8550 0.9430  3 Hg 3.34-3.36, 3 Pb 3.43-3.46
Na 0.6532 0.1450 0.0570  3 Hg 3.34-3.36, 3 Pb 3.43-3.46
Na 0.8550 0.3468 0.4430  3 Hg 3.34-3.36, 3 Pb 3.43-3.46
Hg 0.2546 0.7454 0.2500  2 Pb 2.99, 4 Na 3.34-3.35
Hg 0.7454 0.2546 0.7500  2 Pb 2.99, 4 Na 3.34-3.35
Pb 0.0357 0.5274 0.1802  1 Hg 2.99, 3 Pb 3.16-3.18
Pb 0.4726 0.9643 0.3198  1 Hg 2.99, 3 Pb 3.16-3.18
Pb 0.5274 0.0357 0.6802  1 Hg 2.99, 3 Pb 3.16-3.18
Pb 0.9643 0.4726 0.8198  1 Hg 2.99, 3 Pb 3.16-3.18

Summary:
relative energy among the computed polymorphs = 49 meV per atom
ΔH_f (0 K) = -0.11 eV per atom
M_tot = 0.0 μB per cell

---

(6)
DFT (GGA-PBE) results for Na3Hg2Pb3 after structural relaxation.

a b c (Å): 6.2210 6.2210 20.0186
angles (deg): 90.00 90.00 142.65
With the nearest neighbours (Å) after each atom.
Sites, in units of the cell vectors:
Na 0.0498 0.9502 0.6172  3 Hg 3.27-3.32, 6 Pb 3.40-3.62
Na 0.0498 0.9502 0.8828  3 Hg 3.27-3.32, 6 Pb 3.40-3.62
Na 0.3408 0.6592 0.7500  3 Pb 3.19-3.36, 4 Hg 3.22
Na 0.6592 0.3408 0.2500  3 Pb 3.19-3.36, 4 Hg 3.22
Na 0.9502 0.0498 0.1172  3 Hg 3.27-3.32, 6 Pb 3.40-3.62
Na 0.9502 0.0498 0.3828  3 Hg 3.27-3.32, 6 Pb 3.40-3.62
Hg 0.2311 0.7689 0.1306  3 Pb 3.02-3.11, 5 Na 3.22-3.32
Hg 0.2311 0.7689 0.3694  3 Pb 3.02-3.11, 5 Na 3.22-3.32
Hg 0.7689 0.2311 0.6306  3 Pb 3.02-3.11, 5 Na 3.22-3.32
Hg 0.7689 0.2311 0.8694  3 Pb 3.02-3.11, 5 Na 3.22-3.32
Pb 0.3616 0.6384 0.5243  3 Hg 3.11-3.46, 3 Pb 3.41-3.44
Pb 0.3616 0.6384 0.9757  3 Hg 3.11-3.46, 3 Pb 3.41-3.44
Pb 0.3884 0.6116 0.2500  2 Hg 3.02, 3 Na 3.19-3.36
Pb 0.6116 0.3884 0.7500  2 Hg 3.02, 3 Na 3.19-3.36
Pb 0.6384 0.3616 0.0243  3 Hg 3.11-3.46, 3 Pb 3.41-3.44
Pb 0.6384 0.3616 0.4757  3 Hg 3.11-3.46, 3 Pb 3.41-3.44

Summary:
ΔH_f (0 K) = -0.14 eV per atom
M_tot = 0.0 μB per cell

---

The lowest ΔH_f (0 K) belongs to which entry?
Na3Hg2Pb3

---

Repeat the first record exactly.
DFT (GGA-PBE) results for Na3Hg12Pb after structural relaxation.

a b c (Å): 4.7444 4.7444 18.6019
angles (deg): 90.00 90.00 90.00
With the nearest neighbours (Å) after each atom.
Sites, in units of the cell vectors:
Na 0.0000 0.0000 0.0000  12 Hg 3.33-3.35
Na 0.0000 0.0000 0.2479  12 Hg 3.28-3.35
Na 0.0000 0.0000 0.7521  12 Hg 3.28-3.35
Hg 0.0000 0.5000 0.1254  4 Na 3.29-3.33, 8 Hg 3.31-3.35
Hg 0.0000 0.5000 0.3695  8 Hg 3.26-3.39, 2 Na 3.28, 2 Pb 3.39
Hg 0.0000 0.5000 0.6305  8 Hg 3.26-3.39, 2 Na 3.28, 2 Pb 3.39
Hg 0.0000 0.5000 0.8746  4 Na 3.29-3.33, 8 Hg 3.31-3.35
Hg 0.5000 0.0000 0.1254  4 Na 3.29-3.33, 8 Hg 3.31-3.35
Hg 0.5000 0.0000 0.3695  8 Hg 3.26-3.39, 2 Na 3.28, 2 Pb 3.39
Hg 0.5000 0.0000 0.6305  8 Hg 3.26-3.39, 2 Na 3.28, 2 Pb 3.39
Hg 0.5000 0.0000 0.8746  4 Na 3.29-3.33, 8 Hg 3.31-3.35
Hg 0.5000 0.5000 0.0000  8 Hg 3.33, 4 Na 3.35
Hg 0.5000 0.5000 0.2493  8 Hg 3.26-3.31, 4 Na 3.35
Hg 0.5000 0.5000 0.5000  4 Pb 3.35, 8 Hg 3.39
Hg 0.5000 0.5000 0.7507  8 Hg 3.26-3.31, 4 Na 3.35
Pb 0.0000 0.0000 0.5000  12 Hg 3.35-3.39

Summary:
ΔH_f (0 K) = -0.13 eV per atom
M_tot = 0.0 μB per cell